{
  "formula": "TbDyY2Ho5",
  "functional": "GGA-PBE",
  "state": "relaxed",
  "cell": [[5.590, 0.000, 0.000], [-2.795, 9.861, 0.000], [0.000, 0.000, 10.574]],
  "species": ["Ho", "Ho", "Ho", "Ho", "Ho", "Ho", "Ho", "Ho", "Ho", "Ho", "Y", "Y", "Y", "Y", "Tb", "Tb", "Dy", "Dy"],
  "fractional_positions": [[0.521, 0.042, 0.238], [0.479, 0.958, 0.738], [0.701, 0.401, 0.207], [0.299, 0.599, 0.707], [0.608, 0.215, 0.523], [0.717, 0.434, 0.807], [0.981, 0.961, 0.526], [0.392, 0.785, 0.023], [0.283, 0.566, 0.307], [0.019, 0.039, 0.026], [0.114, 0.227, 0.320], [0.891, 0.781, 0.237], [0.109, 0.219, 0.737], [0.886, 0.773, 0.820], [0.799, 0.597, 0.510], [0.201, 0.403, 0.010], [0.414, 0.828, 0.457], [0.586, 0.172, 0.957]],
  "spacegroup": "No. 36"
}


{
  "formula": "SrEuHfSnO6",
  "functional": "GGA-PBE",
  "state": "relaxed",
  "cell": [[5.447, -1.794, 1.033], [1.934, -0.437, 5.480], [0.943, -5.250, 2.347]],
  "species": ["O", "O", "O", "O", "O", "O", "Sr", "Sn", "Hf", "Eu"],
  "fractional_positions": [[0.750, 0.250, 0.250], [0.750, 0.250, 0.750], [0.250, 0.250, 0.750], [0.250, 0.750, 0.250], [0.750, 0.750, 0.250], [0.250, 0.750, 0.750], [0.250, 0.250, 0.250], [0.500, 0.500, 0.500], [0.000, 0.000, 0.000], [0.750, 0.750, 0.750]],
  "formation_energy_uncorrected_ev_per_atom": -2.756,
  "spacegroup": "No. 216"
}


{
  "formula": "La2CdPb2",
  "functional": "GGA-PBE",
  "state": "relaxed",
  "cell": [[-2.009, -0.552, 7.877], [-1.584, -7.934, -0.960], [4.518, -1.033, 1.080]],
  "species": ["Pb", "Pb", "Pb", "Pb", "Cd", "Cd", "La", "La", "La", "La"],
  "fractional_positions": [[0.868, 0.632, 0.000], [0.368, 0.868, 0.000], [0.632, 0.132, 0.000], [0.132, 0.368, 0.000], [0.500, 0.500, 0.000], [0.000, 0.000, 0.000], [0.826, 0.326, 0.500], [0.674, 0.826, 0.500], [0.326, 0.174, 0.500], [0.174, 0.674, 0.500]],
  "relative_energy_ev_per_atom": 0.0009,
  "spacegroup": "No. 127"
}


{
  "formula": "Mo4Pt2N",
  "functional": "GGA-PBE",
  "state": "relaxed",
  "cell": [[4.091, 0.000, 0.000], [0.000, 4.091, 0.000], [2.046, 2.046, 6.457]],
  "species": ["Pt", "Pt", "Mo", "Mo", "Mo", "Mo", "N"],
  "fractional_positions": [[0.643, 0.643, 0.714], [0.357, 0.357, 0.286], [0.000, 0.500, 0.000], [0.500, 0.000, 0.000], [0.162, 0.162, 0.676], [0.838, 0.838, 0.324], [0.000, 0.000, 0.000]],
  "relative_energy_ev_per_atom": 0.1662,
  "formation_energy_uncorrected_ev_per_atom": 0.010,
  "spacegroup": "No. 139"
}


{
  "formula": "PaB2Os2",
  "functional": "GGA-PBE",
  "state": "relaxed",
  "cell": [[-1.107, -0.146, -3.758], [1.474, -3.622, -0.291], [-4.210, 0.144, 3.278]],
  "species": ["Os", "Os", "Pa", "B", "B"],
  "fractional_positions": [[0.250, 0.750, 0.500], [0.750, 0.250, 0.500], [0.000, 0.000, 0.000], [0.363, 0.363, 0.726], [0.637, 0.637, 0.274]],
  "spacegroup": "No. 139"
}


{
  "formula": "TmZn5Au7",
  "functional": "GGA-PBE",
  "state": "relaxed",
  "cell": [[5.323, 0.000, 0.000], [2.662, 6.543, -0.062], [2.662, -0.083, 6.543]],
  "species": ["Zn", "Zn", "Zn", "Zn", "Zn", "Au", "Au", "Au", "Au", "Au", "Au", "Au", "Tm"],
  "fractional_positions": [[0.005, 0.997, 0.495], [0.503, 0.997, 0.495], [0.740, 0.760, 0.760], [0.503, 0.495, 0.997], [0.005, 0.495, 0.997], [0.651, 0.349, 0.349], [0.997, 0.671, 0.336], [0.318, 0.682, 0.682], [0.511, 0.173, 0.804], [0.997, 0.336, 0.671], [0.268, 0.232, 0.232], [0.511, 0.804, 0.173], [0.990, 0.010, 0.010]],
  "spacegroup": "No. 44"
}


Values for volume, Å³/f.u., ordered as above
291.4 139.9 158.0 108.1 70.1 227.9
Values for E, eV per atom, ordered as above
-4.852 -8.322 -4.141 -9.095 -9.423 -2.940
Values for D(E_F), states/eV/f.u., ordered as above
14.6 2.2 2.2 6.5 4.1 4.4